[1]
This record from Alexandria describes a relaxed structure of KZn4Ru. The functional is PBEsol.

- ΔH_f (0 K) (eV/atom) = 0.423
- Fermi-level density of states (states/eV per cell) = 5.74
- calculated volume (Å³/atom) = 16.06
- spin magnetization (μB per formula unit) = 0.366
- SG = No. 216

Unit cell a=5.146 b=5.146 c=5.146 alpha=60.00 beta=60.00 gamma=60.00
Positions (direct):
K 0.000 0.000 0.000
Zn 0.377 0.377 0.377
Zn 0.377 0.377 0.870
Zn 0.377 0.870 0.377
Zn 0.870 0.377 0.377
Ru 0.750 0.750 0.750

=====

[2]
This record from Alexandria describes a relaxed structure of AlCd2P. The functional is PBEsol.

- relative energy among the computed polymorphs (eV/atom) = 0.112
- ΔH_f (0 K) (eV/atom) = 0.283
- Fermi-level density of states (states/eV per cell) = 1.42
- calculated volume (Å³/atom) = 18.53
- spin magnetization (μB per formula unit) = 0.000
- SG = No. 166

Unit cell a=10.105 b=10.105 c=10.105 alpha=16.68 beta=16.68 gamma=16.68
Positions (direct):
Al 0.000 0.000 0.000
Cd 0.249 0.249 0.249
Cd 0.751 0.751 0.751
P 0.500 0.500 0.500

=====

[3]
This record from Alexandria describes a relaxed structure of BPbI2Cl. The functional is PBEsol.

- Fermi-level density of states (states/eV per cell) = 2.07
- formation energy from raw total energies (eV per atom) = 0.347
- calculated volume (Å³/atom) = 26.02
- spin magnetization (μB per formula unit) = 0.000
- SG = No. 123

Unit cell a=4.896 b=4.896 c=5.427 alpha=90.00 beta=90.00 gamma=90.00
Positions (direct):
B 0.000 0.000 0.000
Pb 0.000 0.000 0.500
I 0.000 0.500 0.000
I 0.500 0.000 0.000
Cl 0.500 0.500 0.500